1.
# Cs2VTeF6, relaxed, DFT GGA+U
# - D(E_F): 1.09 states/eV/atom
# - E: -47.379 eV/cell
data_Cs2VTeF6
_chemical_formula_sum 'Cs2 V1 Te1 F6'
_space_group_name_H-M_alt 'P 1'
_space_group_IT_number 1
_space_group_name_Hall 'P 1'
_cell_length_a 6.668
_cell_length_b 6.668
_cell_length_c 6.668
_cell_angle_alpha 113.90
_cell_angle_beta 113.90
_cell_angle_gamma 100.93
loop_
_atom_site_label
_atom_site_fract_x
_atom_site_fract_y
_atom_site_fract_z
Cs1 0.250 0.750 0.500
Cs2 0.750 0.250 0.500
V1 0.000 0.000 0.000
Te1 0.500 0.500 0.000
F1 0.188 0.188 0.377
F2 0.188 0.812 0.000
F3 0.246 0.246 0.000
F4 0.754 0.754 0.000
F5 0.812 0.188 0.000
F6 0.812 0.812 0.623

2.
# CsTeWF2, relaxed, DFT GGA+U
# - D(E_F): 0.52 states/eV/atom
# - E: -19.358 eV/cell
data_CsTeWF2
_chemical_formula_sum 'Cs1 Te1 W1 F2'
_space_group_name_H-M_alt 'P 1'
_space_group_IT_number 1
_space_group_name_Hall 'P 1'
_cell_length_a 4.520
_cell_length_b 4.520
_cell_length_c 8.444
_cell_angle_alpha 90.00
_cell_angle_beta 90.00
_cell_angle_gamma 90.00
loop_
_atom_site_label
_atom_site_fract_x
_atom_site_fract_y
_atom_site_fract_z
Cs1 0.000 0.000 0.000
Te1 0.500 0.500 0.000
W1 0.000 0.000 0.500
F1 0.000 0.500 0.500
F2 0.500 0.000 0.500

| no. | calculated volume (Å³/atom) |
| --- | --- |
| 1 | 22.4 |
| 2 | 34.5 |